A relaxed BaNbGeO6 crystal, computed with PBE-GGA.

Values from the calculation:
For the density of states at the Fermi level, the calculation gives 7.67 states/eV/cell. As for the energy: -7.278 eV per atom. The uncorrected formation energy comes out at -2127 meV per atom. As for the total moment: 1.07 Bohr magnetons per cell.

POSCAR file:
```
BaNbGeO6
1.0
5.340 0.000 0.000
2.670 4.624 0.000
0.000 0.000 5.647
Ba Nb Ge O
1 1 1 6
Cartesian
5.340 0.000 5.647
5.340 3.083 2.823
2.670 1.542 2.823
1.111 1.806 1.732
2.120 0.059 3.915
4.229 1.806 3.915
1.661 2.759 3.915
3.678 2.759 1.732
3.220 0.059 1.732
```

---

A relaxed GaSn2Ir crystal, computed with PBE-GGA.

Values from the calculation:
For the density of states at the Fermi level, the calculation gives 2.04 states/eV/cell. As for the energy: -4.874 eV per atom. The calculation puts the formation energy at 99 meV per atom. As for the total moment: 0.00 Bohr magnetons per cell.

POSCAR file:
```
GaSn2Ir
1.0
3.587 0.000 0.000
1.793 3.106 0.000
1.793 1.035 8.806
Ir Sn Ga
1 2 1
Cartesian
3.587 2.071 4.403
1.793 1.035 6.090
5.380 3.106 2.716
0.000 0.000 0.000
```